Pm5Pr6Ho2 PBE-GGA relaxed; total energy = -4.645 eV per atom
1.0
3.666 0.000 0.000
0.000 11.855 0.000
0.000 0.000 21.052
Pr Ho Pm
12 4 10
Direct
0.500 0.173 0.639
0.500 0.673 0.861
0.000 0.563 0.419
0.000 0.937 0.919
0.000 0.063 0.081
0.000 0.416 0.868
0.000 0.084 0.368
0.000 0.437 0.581
0.000 0.916 0.632
0.000 0.584 0.132
0.500 0.827 0.361
0.500 0.327 0.139
0.000 0.168 0.790
0.000 0.832 0.210
0.000 0.668 0.710
0.000 0.332 0.290
0.500 0.803 0.055
0.500 0.303 0.445
0.500 0.197 0.945
0.500 0.500 0.000
0.500 0.589 0.273
0.500 0.089 0.227
0.500 0.000 0.500
0.500 0.697 0.555
0.500 0.411 0.727
0.500 0.911 0.773


PmPr2Ho PBE-GGA relaxed; polymorph energy (0 for the lowest one) = 143 meV/atom
1.0
3.557 0.000 0.000
1.778 3.080 0.000
1.778 1.027 12.700
Pr Ho Pm
2 1 1
Direct
0.910 0.910 0.269
0.090 0.090 0.731
0.500 0.500 0.500
0.000 0.000 0.000


Pm2Pr3Ho7 PBE-GGA relaxed; polymorph energy (0 for the lowest one) = 217 meV/atom
1.0
-2.588 -0.290 5.053
-3.372 -4.660 -1.994
9.252 -6.987 4.338
Ho Pm Pr
7 2 3
Direct
0.000 0.455 0.172
0.500 0.776 0.562
0.000 0.545 0.828
0.000 0.000 0.000
0.500 0.908 0.841
0.500 0.092 0.159
0.500 0.224 0.438
0.500 0.640 0.293
0.500 0.360 0.707
0.000 0.025 0.678
0.000 0.975 0.322
0.500 0.500 0.000


Pm7PrHo2 PBE-GGA relaxed; polymorph energy (0 for the lowest one) = 261 meV/atom
1.0
5.744 0.000 0.000
0.000 9.209 -0.428
0.000 -4.537 8.026
Ho Pm Pr
2 7 1
Direct
0.500 0.296 0.704
0.500 0.704 0.296
0.500 0.937 0.705
0.000 0.228 0.772
0.500 0.295 0.063
0.500 0.705 0.937
0.500 0.063 0.295
0.000 0.772 0.228
0.500 0.500 0.500
0.000 0.000 0.000


Pm5Pr3Ho3 PBE-GGA relaxed; polymorph energy (0 for the lowest one) = 404 meV/atom
1.0
5.613 0.000 0.000
0.000 9.758 0.000
0.000 -4.879 8.451
Pm Pr Ho
5 3 3
Direct
0.500 0.667 0.333
0.500 0.000 0.730
0.500 0.730 0.000
0.500 0.270 0.270
0.500 0.333 0.667
0.000 0.578 0.000
0.000 0.422 0.422
0.000 0.000 0.578
0.500 0.631 0.631
0.500 0.000 0.369
0.500 0.369 0.000


PmPrHo2 PBE-GGA relaxed; polymorph energy (0 for the lowest one) = 98 meV/atom
1.0
-1.992 -1.354 -5.205
-3.784 -4.268 -0.601
-5.443 1.167 -1.380
Ho Pr Pm
2 1 1
Direct
0.250 0.250 0.250
0.750 0.750 0.750
0.500 0.500 0.500
0.000 0.000 0.000